This record from Alexandria describes BaZn2SnRh after structural relaxation. The functional is PBE.

* total magnetic moment: 0.00 μB/f.u.
* total DFT energy (no corrections): -17.75 eV/cell
* energy relative to the elements: -0.3851 eV/atom
* N(E_F): 3.16 states/eV per cell

abc: 4.973 4.973 5.096
angles: 90.00 90.00 90.00
Space group P4/mmm (No. 123)
One atom of each set of equivalent atoms:
Ba1 0.000 0.000 0.000
Zn1 0.000 0.500 0.500
Sn1 0.500 0.500 0.000
Rh1 0.500 0.500 0.500